# UMo2S6

UMo2S6 after structural relaxation (PBE-GGA, the Alexandria database).

```
UMo2S6
1.0
-0.4934 -2.7474 3.4428
-0.2138 -5.9611 -1.9346
7.4685 -2.9201 1.5931
S U Mo
6 1 2
Direct
0.0373 0.1531 0.7722
0.9627 0.8469 0.2278
0.3493 0.6691 0.6323
0.2986 0.3473 0.0555
0.7014 0.6527 0.9445
0.6507 0.3309 0.3677
0.0000 0.5000 0.5000
0.1368 0.7897 0.9367
0.8632 0.2103 0.0633
```

**Size of the total moment**: 2.0 μB/cell
**Formation energy (no corrections)**: -0.664 eV per atom
**Mass density**: 5.1 g cm⁻³
**Calculated total energy**: -7.077 eV per atom
**Fermi-level density of states**: 0.86 states/eV per atom

***

# UMo6S8

UMo6S8 after structural relaxation (PBE-GGA, the Alexandria database).

```
UMo6S8
1.0
4.6200 -4.5330 -0.0046
4.6200 4.5330 -0.0046
0.1787 0.0000 6.4700
S Mo U
8 6 1
Direct
0.8718 0.2429 0.6341
0.6341 0.8718 0.2429
0.1282 0.7571 0.3659
0.2429 0.6341 0.8718
0.2393 0.2393 0.2393
0.7571 0.3659 0.1282
0.7607 0.7607 0.7607
0.3659 0.1282 0.7571
0.4213 0.5617 0.2217
0.7783 0.5787 0.4383
0.5787 0.4383 0.7783
0.5617 0.2217 0.4213
0.2217 0.4213 0.5617
0.4383 0.7783 0.5787
0.0000 0.0000 0.0000
```

**Size of the total moment**: 2.0 μB/cell
**Formation energy (no corrections)**: -0.811 eV per atom
**Mass density**: 6.6 g cm⁻³
**Calculated total energy**: -8.097 eV per atom
**Fermi-level density of states**: 0.75 states/eV per atom

***

# U2MoS

U2MoS after structural relaxation (PBE-GGA, the Alexandria database).

```
U2MoS
1.0
-1.1036 0.9643 3.0841
-0.3291 -2.3085 2.4943
7.0838 0.9314 4.1339
U Mo S
2 1 1
Direct
0.2447 0.2447 0.2660
0.7553 0.7553 0.7340
0.0000 0.0000 0.0000
0.5000 0.5000 0.5000
```

**Size of the total moment**: 2.7 μB/cell
**Formation energy (no corrections)**: -0.164 eV per atom
**Mass density**: 12.4 g cm⁻³
**Calculated total energy**: -9.548 eV per atom
**Fermi-level density of states**: 2.61 states/eV per atom

***

# U3MoS6

U3MoS6 after structural relaxation (PBE-GGA, the Alexandria database).

```
U3MoS6
1.0
-1.6073 -3.4050 6.6324
7.3205 1.6541 1.3568
-2.9792 6.8521 1.5293
S U Mo
12 6 2
Direct
0.9778 0.0675 0.3184
0.6816 0.0222 0.9325
0.3184 0.9778 0.0675
0.0222 0.9325 0.6816
0.8095 0.4306 0.5677
0.4323 0.1905 0.5694
0.5694 0.4323 0.1905
0.4306 0.5677 0.8095
0.0675 0.3184 0.9778
0.1905 0.5694 0.4323
0.9325 0.6816 0.0222
0.5677 0.8095 0.4306
0.3689 0.8808 0.7064
0.8808 0.7064 0.3689
0.7064 0.3689 0.8808
0.1192 0.2936 0.6311
0.6311 0.1192 0.2936
0.2936 0.6311 0.1192
0.0000 0.0000 0.0000
0.5000 0.5000 0.5000
```

**Size of the total moment**: 11.9 μB/cell
**Formation energy (no corrections)**: -1.157 eV per atom
**Mass density**: 7.8 g cm⁻³
**Calculated total energy**: -8.103 eV per atom
**Fermi-level density of states**: 1.87 states/eV per atom

***

# UMo2S3

UMo2S3 after structural relaxation (PBE-GGA, the Alexandria database).

```
UMo2S3
1.0
3.4431 0.0000 0.0000
0.0000 7.7675 0.5447
-1.7215 -1.0515 9.4515
S Mo U
6 4 2
Direct
0.7487 0.7591 0.4974
0.5851 0.3375 0.1702
0.4149 0.6625 0.8298
0.9185 0.1509 0.8371
0.0815 0.8491 0.1629
0.2513 0.2409 0.5026
0.7077 0.4432 0.4155
0.2923 0.5568 0.5845
0.0472 0.1433 0.0944
0.9528 0.8567 0.9056
0.3376 0.9619 0.6752
0.6624 0.0381 0.3248
```

**Size of the total moment**: 3.2 μB/cell
**Formation energy (no corrections)**: -0.525 eV per atom
**Mass density**: 6.9 g cm⁻³
**Calculated total energy**: -8.081 eV per atom
**Fermi-level density of states**: 0.77 states/eV per atom

***

# V3MoS

V3MoS after structural relaxation (PBE-GGA, the Alexandria database).

```
V3MoS
1.0
4.5731 0.0000 0.0000
0.0000 4.5731 0.0000
0.0000 0.0000 4.5731
V S Mo
3 1 1
Direct
0.5000 0.0000 0.0000
0.0000 0.5000 0.0000
0.0000 0.0000 0.5000
0.5000 0.5000 0.5000
0.0000 0.0000 0.0000
```

**Size of the total moment**: 0.0 μB/cell
**Formation energy (no corrections)**: 1.407 eV per atom
**Mass density**: 4.9 g cm⁻³
**Calculated total energy**: -7.056 eV per atom
**Polymorph energy (0 for the lowest one)**: 1471 meV per atom
**Fermi-level density of states**: 1.01 states/eV per atom

***

# VMoS2

VMoS2 after structural relaxation (PBE-GGA, the Alexandria database).

```
VMoS2
1.0
5.4100 0.0000 0.0000
0.0000 5.4100 0.0000
2.7050 2.7050 5.2377
S Mo V
4 2 2
Direct
0.1309 0.6250 0.2500
0.8750 0.8691 0.7500
0.6191 0.1250 0.2500
0.3750 0.3809 0.7500
0.7500 0.2500 0.5000
0.0000 0.0000 0.0000
0.2500 0.7500 0.5000
0.5000 0.5000 0.0000
```

**Size of the total moment**: 6.1 μB/cell
**Formation energy (no corrections)**: -0.242 eV per atom
**Mass density**: 4.6 g cm⁻³
**Calculated total energy**: -7.294 eV per atom
**Polymorph energy (0 for the lowest one)**: 113 meV per atom
**Fermi-level density of states**: 1.23 states/eV per atom

***

# VMoS

VMoS after structural relaxation (PBE-GGA, the Alexandria database).

```
VMoS
1.0
-1.5881 1.6750 -1.8228
-1.0438 -3.3616 -2.1797
-2.3575 1.2218 3.1766
Mo V S
1 1 1
Direct
0.1329 0.3333 0.6667
0.7513 0.6667 0.3333
0.1158 0.0000 0.0000
```

**Size of the total moment**: 0.0 μB/cell
**Formation energy (no corrections)**: -0.036 eV per atom
**Mass density**: 6.8 g cm⁻³
**Calculated total energy**: -8.062 eV per atom
**Polymorph energy (0 for the lowest one)**: 472 meV per atom
**Fermi-level density of states**: 1.05 states/eV per atom

***

# VMoS2

VMoS2 after structural relaxation (PBE-GGA, the Alexandria database).

```
VMoS2
1.0
-0.1716 -0.7287 3.5504
3.0276 -1.0404 -1.7073
2.4220 5.1960 1.2346
V Mo S
1 1 2
Direct
0.4008 0.8309 0.0955
0.7343 0.4973 0.7480
0.3944 0.8373 0.5343
0.7478 0.4840 0.1410
```

**Size of the total moment**: 0.0 μB/cell
**Formation energy (no corrections)**: -0.355 eV per atom
**Mass density**: 5.1 g cm⁻³
**Calculated total energy**: -7.407 eV per atom
**Polymorph energy (0 for the lowest one)**: 0 meV per atom
**Fermi-level density of states**: 0.37 states/eV per atom

***

# VMoS3

VMoS3 after structural relaxation (PBE-GGA, the Alexandria database).

```
VMoS3
1.0
4.5728 0.0000 0.0000
0.0000 4.5728 0.0000
0.0000 0.0000 4.5728
S V Mo
3 1 1
Direct
0.5000 0.0000 0.0000
0.0000 0.5000 0.0000
0.0000 0.0000 0.5000
0.0000 0.0000 0.0000
0.5000 0.5000 0.5000
```

**Size of the total moment**: 4.9 μB/cell
**Formation energy (no corrections)**: 0.344 eV per atom
**Mass density**: 4.2 g cm⁻³
**Calculated total energy**: -6.123 eV per atom
**Polymorph energy (0 for the lowest one)**: 935 meV per atom
**Fermi-level density of states**: 0.76 states/eV per atom

***

# VMoS

VMoS after structural relaxation (PBE-GGA, the Alexandria database).

```
VMoS
1.0
3.1598 0.0000 0.0000
0.0000 3.1598 0.0000
0.0000 0.0000 9.6413
Mo S V
2 2 2
Direct
0.0000 0.5000 0.9237
0.5000 0.0000 0.0763
0.5000 0.0000 0.3410
0.0000 0.5000 0.6590
0.0000 0.5000 0.2414
0.5000 0.0000 0.7586
```

**Size of the total moment**: 0.0 μB/cell
**Formation energy (no corrections)**: -0.509 eV per atom
**Mass density**: 6.2 g cm⁻³
**Calculated total energy**: -8.534 eV per atom
**Polymorph energy (0 for the lowest one)**: 0 meV per atom
**Fermi-level density of states**: 0.92 states/eV per atom

***

# VMoS3

VMoS3 after structural relaxation (PBE-GGA, the Alexandria database).

```
VMoS3
1.0
-0.5129 -3.0388 0.7501
5.8187 -1.3453 -1.4714
2.9545 0.4421 3.8103
S Mo V
3 1 1
Direct
0.5120 0.1622 0.1888
0.5120 0.7751 0.9201
0.0120 0.4926 0.5315
0.5120 0.1892 0.6740
0.0120 0.8812 0.1956
```

**Size of the total moment**: 0.0 μB/cell
**Formation energy (no corrections)**: -0.591 eV per atom
**Mass density**: 4.6 g cm⁻³
**Calculated total energy**: -7.058 eV per atom
**Polymorph energy (0 for the lowest one)**: 0 meV per atom
**Fermi-level density of states**: 0.68 states/eV per atom

***

# VMo3S

VMo3S after structural relaxation (PBE-GGA, the Alexandria database).

```
VMo3S
1.0
4.4055 0.0000 0.0000
0.0000 4.4055 0.0000
0.0000 0.0000 4.4055
Mo S V
3 1 1
Direct
0.5000 0.0000 0.0000
0.0000 0.5000 0.0000
0.0000 0.0000 0.5000
0.0000 0.0000 0.0000
0.5000 0.5000 0.5000
```

**Size of the total moment**: 1.9 μB/cell
**Formation energy (no corrections)**: 0.586 eV per atom
**Mass density**: 7.2 g cm⁻³
**Calculated total energy**: -8.562 eV per atom
**Polymorph energy (0 for the lowest one)**: 0 meV per atom
**Fermi-level density of states**: 0.96 states/eV per atom

***

# VMo2S

VMo2S after structural relaxation (PBE-GGA, the Alexandria database).

```
VMo2S
1.0
-0.0997 1.9915 2.0693
-2.0436 2.0197 -0.0469
-5.8492 -3.7506 5.3231
V Mo S
1 2 1
Direct
0.0000 0.0000 0.0000
0.9055 0.9055 0.2836
0.0945 0.0945 0.7164
0.5000 0.5000 0.5000
```

**Size of the total moment**: 0.0 μB/cell
**Formation energy (no corrections)**: 0.431 eV per atom
**Mass density**: 7.4 g cm⁻³
**Calculated total energy**: -8.296 eV per atom
**Fermi-level density of states**: 1.25 states/eV per atom

***

# VMo3S4

VMo3S4 after structural relaxation (PBE-GGA, the Alexandria database).

```
VMo3S4
1.0
-0.2232 -4.3341 4.0586
5.5220 0.2594 0.5807
-0.8552 5.4002 5.7197
Mo S V
6 8 2
Direct
0.5738 0.7185 0.0000
0.9128 0.5038 0.8145
0.9128 0.5038 0.1855
0.4128 0.4962 0.3145
0.0738 0.2815 0.5000
0.4128 0.4962 0.6855
0.1548 0.6943 0.5000
0.6802 0.3302 0.5000
0.6687 0.8386 0.7194
0.6548 0.3057 0.0000
0.1687 0.1614 0.7806
0.6687 0.8386 0.2806
0.1802 0.6698 0.0000
0.1687 0.1614 0.2194
0.4435 0.0128 0.5000
0.9435 0.9872 0.0000
```

**Size of the total moment**: 0.0 μB/cell
**Formation energy (no corrections)**: -0.403 eV per atom
**Mass density**: 5.9 g cm⁻³
**Calculated total energy**: -7.668 eV per atom
**Fermi-level density of states**: 0.54 states/eV per atom

***

# V2MoS2

V2MoS2 after structural relaxation (PBE-GGA, the Alexandria database).

```
V2MoS2
1.0
-5.7206 -2.1748 -2.2770
3.1417 -3.6268 -4.4291
0.1001 -2.3656 2.0080
S Mo V
4 2 4
Direct
0.3407 0.8407 0.0000
0.1593 0.3407 0.0000
0.8407 0.6593 0.0000
0.6593 0.1593 0.0000
0.0000 0.0000 0.0000
0.5000 0.5000 0.0000
0.8626 0.3626 0.5000
0.1374 0.6374 0.5000
0.6374 0.8626 0.5000
0.3626 0.1374 0.5000
```

**Size of the total moment**: 0.0 μB/cell
**Formation energy (no corrections)**: -0.399 eV per atom
**Mass density**: 6.6 g cm⁻³
**Calculated total energy**: -7.864 eV per atom
**Polymorph energy (0 for the lowest one)**: 0 meV per atom
**Fermi-level density of states**: 0.82 states/eV per atom

***

# V3MoS

V3MoS after structural relaxation (PBE-GGA, the Alexandria database).

```
V3MoS
1.0
-0.8963 0.4715 4.8594
1.0561 -4.7810 0.6561
5.8077 1.4083 0.9345
Mo V S
2 6 2
Direct
0.4886 0.3400 0.7009
0.9888 0.0129 0.2006
0.4249 0.9170 0.4501
0.8685 0.0086 0.7007
0.9244 0.4358 0.4516
0.4247 0.9167 0.9514
0.9242 0.4361 0.9500
0.3683 0.3440 0.2008
0.1720 0.6806 0.7007
0.6719 0.6721 0.2008
```

**Size of the total moment**: 0.0 μB/cell
**Formation energy (no corrections)**: -0.064 eV per atom
**Mass density**: 6.3 g cm⁻³
**Calculated total energy**: -8.527 eV per atom
**Polymorph energy (0 for the lowest one)**: 0 meV per atom
**Fermi-level density of states**: 0.92 states/eV per atom

***

# V2MoS2

V2MoS2 after structural relaxation (PBE-GGA, the Alexandria database).

```
V2MoS2
1.0
-0.7346 4.0957 0.5081
-3.9546 -0.5509 -1.2769
-3.5051 1.0814 3.5075
S V Mo
2 2 1
Direct
0.6398 0.6398 0.7204
0.3602 0.3602 0.2796
0.7500 0.2500 0.5000
0.2500 0.7500 0.5000
0.0000 0.0000 0.0000
```

**Size of the total moment**: 1.2 μB/cell
**Formation energy (no corrections)**: 0.027 eV per atom
**Mass density**: 6.0 g cm⁻³
**Calculated total energy**: -7.438 eV per atom
**Polymorph energy (0 for the lowest one)**: 426 meV per atom
**Fermi-level density of states**: 1.10 states/eV per atom

***

# VMoS2

VMoS2 after structural relaxation (PBE-GGA, the Alexandria database).

```
VMoS2
1.0
0.0000 2.9890 2.9890
2.9890 0.0000 2.9890
2.9890 2.9890 0.0000
S Mo V
2 1 1
Direct
0.7500 0.7500 0.7500
0.2500 0.2500 0.2500
0.5000 0.5000 0.5000
0.0000 0.0000 0.0000
```

**Size of the total moment**: 1.7 μB/cell
**Formation energy (no corrections)**: -0.311 eV per atom
**Mass density**: 6.6 g cm⁻³
**Calculated total energy**: -7.362 eV per atom
**Polymorph energy (0 for the lowest one)**: 44 meV per atom
**Fermi-level density of states**: 1.03 states/eV per atom

***

# VMoS2

VMoS2 after structural relaxation (PBE-GGA, the Alexandria database).

```
VMoS2
1.0
1.7228 0.0000 7.9207
-0.8614 1.4920 7.9207
-0.8614 -1.4920 7.9207
V S Mo
1 2 1
Direct
0.5000 0.5000 0.5000
0.1002 0.1002 0.1002
0.8998 0.8998 0.8998
0.0000 0.0000 0.0000
```

**Size of the total moment**: 0.0 μB/cell
**Formation energy (no corrections)**: -0.336 eV per atom
**Mass density**: 5.7 g cm⁻³
**Calculated total energy**: -7.387 eV per atom
**Polymorph energy (0 for the lowest one)**: 20 meV per atom
**Fermi-level density of states**: 0.89 states/eV per atom